# 1
Computed, not measured: PmTmAgGe after structural relaxation at the PBE-GGA level of DFT.

**V**: 379 Å³/cell
**DOS(E_F)**: 3.5 states/eV/f.u.
**DFT formation energy**: -509 meV/atom
**M_tot**: 0.010 Bohr magnetons per cell

a b c (Å): 7.2363 7.2363 7.2363
angles (deg): 90.00 90.00 90.00
Space group F-43m (No. 216)
Unique sites:
Pm 0.0000 0.0000 0.0000 x4
Tm 0.0000 0.0000 0.5000 x4
Ag 0.2500 0.2500 0.7500 x4
Ge 0.2500 0.2500 0.2500 x4

---

# 2
Computed, not measured: Tl2AsPt after structural relaxation at the PBE-GGA level of DFT.

**V**: 88 Å³/cell
**ΔE to the lowest computed polymorph**: 0.4634 eV/atom
**DOS(E_F)**: 2.1 states/eV/f.u.
**DFT formation energy**: 280 meV/atom
**M_tot**: 0.000 Bohr magnetons per cell

a b c (Å): 3.2236 5.2714 5.3578
angles (deg): 103.77 90.44 90.41
Space group P-1 (No. 2)
Unique sites:
Tl 0.0000 0.0000 0.0000 x1
Tl 0.0000 0.5000 0.5000 x1
As 0.5000 0.0000 0.5000 x1
Pt 0.5000 0.5000 0.0000 x1

---

# 3
Computed, not measured: YFe2Ru after structural relaxation at the PBE-GGA level of DFT.

**V**: 198 Å³/cell
**DOS(E_F)**: 6.4 states/eV/f.u.
**DFT formation energy**: 607 meV/atom
**M_tot**: 16.118 Bohr magnetons per cell

a b c (Å): 2.9279 2.9279 26.6248
angles (deg): 90.00 90.00 120.00
Space group R-3m (No. 166, hexagonal axes)
Unique sites:
Y 0.0000 0.0000 0.0000 x3
Fe 0.0000 0.0000 0.2389 x6
Ru 0.0000 0.0000 0.5000 x3

---

# 4
Computed, not measured: HoTm2Te after structural relaxation at the PBE-GGA level of DFT.

**V**: 455 Å³/cell
**ΔE to the lowest computed polymorph**: 0.0000 eV/atom
**DOS(E_F)**: 5.0 states/eV/f.u.
**E_form (uncorrected)**: -240 kJ/mol of formula units
**M_tot**: 0.000 Bohr magnetons per cell

a b c (Å): 3.8867 12.0049 9.7432
angles (deg): 90.00 90.00 90.00
Space group Cmcm (No. 63)
Unique sites:
Ho 0.0000 0.0548 0.2500 x4
Tm 0.0000 0.3653 0.0360 x8
Te 0.0000 0.2351 0.7500 x4

---

# 5
Computed, not measured: Ac2P2Se after structural relaxation at the PBE-GGA level of DFT.

**V**: 308 Å³/cell
**DOS(E_F)**: 0.7 states/eV/f.u.
**E_form (uncorrected)**: -642 kJ/mol of formula units
**M_tot**: 0.000 Bohr magnetons per cell

a b c (Å): 7.8909 5.0871 7.8252
angles (deg): 90.00 101.22 90.00
Space group C2/m (No. 12)
Unique sites:
Ac 0.1924 0.0000 0.2545 x4
P 0.0000 0.2791 0.5000 x4
Se 0.0000 0.5000 0.0000 x2

---

# 6
Computed, not measured: CaZnSb2Pd4 after structural relaxation at the PBE-GGA level of DFT.

**V**: 460 Å³/cell
**DOS(E_F)**: 2.4 states/eV/f.u.
**E_form (uncorrected)**: -448 kJ/mol of formula units
**M_tot**: 0.000 Bohr magnetons per cell

a b c (Å): 4.5721 4.5721 25.3885
angles (deg): 90.00 90.00 120.00
Space group R-3m (No. 166, hexagonal axes)
Unique sites:
Ca 0.0000 0.0000 0.0000 x3
Zn 0.0000 0.0000 0.5000 x3
Sb 0.0000 0.0000 0.2480 x6
Pd 0.0000 0.0000 0.1382 x6
Pd 0.0000 0.0000 0.4006 x6

---

# 7
Computed, not measured: Zr4Cu2Ir after structural relaxation at the PBE-GGA level of DFT.

**V**: 402 Å³/cell
**DOS(E_F)**: 7.0 states/eV/f.u.
**DFT formation energy**: -226 meV/atom
**M_tot**: 0.000 Bohr magnetons per cell

a b c (Å): 4.5813 4.5813 22.1122
angles (deg): 90.00 90.00 120.00
Space group R-3m (No. 166, hexagonal axes)
Unique sites:
Zr 0.0000 0.0000 0.1176 x6
Zr 0.0000 0.0000 0.3697 x6
Cu 0.0000 0.0000 0.2444 x6
Ir 0.0000 0.0000 0.5000 x3

---

# 8
Computed, not measured: Ba5TmS6 after structural relaxation at the PBE-GGA level of DFT.

**V**: 736 Å³/cell
**DOS(E_F)**: 2.2 states/eV/f.u.
**E_form (uncorrected)**: -2337 kJ/mol of formula units
**M_tot**: 0.000 Bohr magnetons per cell

a b c (Å): 7.6842 13.2817 7.6526
angles (deg): 90.00 109.63 90.00
Space group C2/m (No. 12)
Unique sites:
Ba 0.0000 0.0000 0.0000 x2
Ba 0.0000 0.1660 0.5000 x4
Ba 0.0000 0.3300 0.0000 x4
Tm 0.0000 0.5000 0.5000 x2
S 0.2216 0.5000 0.2695 x4
S 0.2261 0.3498 0.7282 x8